Compound: CoSe2NF
Source: Alexandria via LeMat-Bulk
Functional: PBE with a Hubbard U
Structure: relaxed

```
data_CoSe2NF
_chemical_formula_sum 'Co1 Se2 N1 F1'
_cell_length_a 4.8894
_cell_length_b 4.8894
_cell_length_c 3.2881
_cell_angle_alpha 90.00
_cell_angle_beta 90.00
_cell_angle_gamma 90.00
_symmetry_space_group_name_H-M 'P 1'
_symmetry_Int_Tables_number 1
loop_
_symmetry_equiv_pos_as_xyz
'x,y,z'
loop_
_atom_site_label
_atom_site_type_symbol
_atom_site_fract_x
_atom_site_fract_y
_atom_site_fract_z
Co1 Co 0.0000 0.0000 0.0000
Se1 Se 0.0000 0.5000 0.0000
Se2 Se 0.5000 0.0000 0.0000
N1 N 0.0000 0.0000 0.5000
F1 F 0.5000 0.5000 0.5000
```

Computed properties:
- Magnetic moment: 1.3 μB per cell
- Distance to the lowest polymorph of the same formula: 0 meV/atom
- VASP energy: -3.91 eV/atom